(1)
! POsNO2 PBE-GGA optimized geometry; values from VASP
&SYSTEM
  ibrav = 0, nat = 5, ntyp = 4
/
ATOMIC_SPECIES
P 30.97 P.upf
Os 190.23 Os.upf
O 16.00 O.upf
N 14.01 N.upf
ATOMIC_POSITIONS angstrom
P -0.783 1.703 1.808
Os 0.000 0.000 0.000
O -0.231 -1.368 1.188
O -1.727 -0.197 -0.563
N -2.741 0.137 2.434
CELL_PARAMETERS angstrom
-3.454 -0.394 -1.125
-0.462 -2.737 2.377
-1.567 3.405 3.616
! SG: P4/mmm
! calculated density: 6.38 g/cm3
! final energy: -6.50 eV/atom
! total magnetic moment: 1.301 μB/f.u.

(2)
! La3Mn PBE-GGA optimized geometry; values from VASP
&SYSTEM
  ibrav = 0, nat = 4, ntyp = 2
/
ATOMIC_SPECIES
La 138.91 La.upf
Mn 54.94 Mn.upf
ATOMIC_POSITIONS angstrom
La 0.000 0.000 0.000
La -6.491 -0.652 1.882
La -3.245 -0.326 0.941
Mn -9.736 -0.979 2.823
CELL_PARAMETERS angstrom
-5.019 -1.739 -1.585
-3.432 -2.300 3.696
-4.531 2.734 1.652
! SG: Fm-3m
! calculated density: 6.50 g/cm3
! energy of formation from the pure elements: 0.30 eV/atom
! final energy: -5.69 eV/atom
! total magnetic moment: 2.245 μB/f.u.

(3)
! CoSb2W PBE-GGA optimized geometry; values from VASP
&SYSTEM
  ibrav = 0, nat = 4, ntyp = 3
/
ATOMIC_SPECIES
Co 58.93 Co.upf
Sb 121.76 Sb.upf
W 183.84 W.upf
ATOMIC_POSITIONS angstrom
Co -4.958 -2.252 2.747
Sb -7.095 -0.798 2.495
Sb -3.777 -0.425 1.328
W -1.334 -1.844 1.472
CELL_PARAMETERS angstrom
-0.107 -2.856 -1.218
1.063 -0.424 2.888
-7.248 -0.815 2.549
! ΔE to the lowest computed polymorph: 455 meV/atom
! SG: Cmmm
! calculated density: 11.18 g/cm3
! final energy: -6.38 eV/atom
! total magnetic moment: 0.002 μB/f.u.

(4)
! Tb5DyMg4 PBE-GGA optimized geometry; values from VASP
&SYSTEM
  ibrav = 0, nat = 10, ntyp = 3
/
ATOMIC_SPECIES
Tb 158.93 Tb.upf
Dy 162.50 Dy.upf
Mg 24.30 Mg.upf
ATOMIC_POSITIONS angstrom
Tb 1.870 1.870 2.383
Tb 1.870 1.870 6.276
Tb 1.870 1.870 10.128
Tb 1.870 1.870 13.980
Tb 1.870 1.870 17.873
Dy 0.000 0.000 0.000
Mg 0.000 0.000 4.344
Mg 0.000 0.000 8.194
Mg 0.000 0.000 12.062
Mg 0.000 0.000 15.912
CELL_PARAMETERS angstrom
3.740 0.000 0.000
0.000 3.740 0.000
0.000 0.000 20.256
! SG: P4/mmm
! calculated density: 6.18 g/cm3
! energy of formation from the pure elements: -0.06 eV/atom
! final energy: -3.47 eV/atom
! total magnetic moment: 0.000 μB/f.u.